Entry w
Entry from Alexandria via LeMat-Bulk: a relaxed structure of Pm12YEr6 (PBE).

Computed properties:
ρ: 7.146 g/cm3
Symmetry: No. 148
Density of states at the Fermi level: 1.5228 states/eV per atom

abc: 9.217 9.217 9.217
angles: 106.65 106.65 106.65
Sites, in units of the cell vectors:
Pm: 0.483 0.193 0.581
Pm: 0.193 0.581 0.483
Pm: 0.581 0.483 0.193
Pm: 0.517 0.807 0.419
Pm: 0.807 0.419 0.517
Pm: 0.419 0.517 0.807
Pm: 0.279 0.135 0.827
Pm: 0.173 0.721 0.865
Pm: 0.865 0.173 0.721
Pm: 0.721 0.865 0.173
Pm: 0.827 0.279 0.135
Pm: 0.135 0.827 0.279
Y: 0.000 0.000 0.000
Er: 0.076 0.189 0.456
Er: 0.811 0.544 0.924
Er: 0.544 0.924 0.811
Er: 0.924 0.811 0.544
Er: 0.189 0.456 0.076
Er: 0.456 0.076 0.189



Entry x
Entry from Alexandria via LeMat-Bulk: a relaxed structure of Pm12YEr6 (PBE).

Computed properties:
ρ: 7.314 g/cm3
Symmetry: No. 148
Density of states at the Fermi level: 1.7368 states/eV per atom

abc: 8.633 8.633 8.633
angles: 88.87 88.87 88.87
Sites, in units of the cell vectors:
Pm: 0.780 0.538 0.433
Pm: 0.433 0.780 0.538
Pm: 0.538 0.433 0.780
Pm: 0.220 0.462 0.567
Pm: 0.567 0.220 0.462
Pm: 0.462 0.567 0.220
Pm: 0.016 0.196 0.363
Pm: 0.804 0.637 0.984
Pm: 0.637 0.984 0.804
Pm: 0.984 0.804 0.637
Pm: 0.196 0.363 0.016
Pm: 0.363 0.016 0.196
Y: 0.000 0.000 0.000
Er: 0.740 0.901 0.299
Er: 0.701 0.260 0.099
Er: 0.099 0.701 0.260
Er: 0.260 0.099 0.701
Er: 0.299 0.740 0.901
Er: 0.901 0.299 0.740



Least stable structure: entry w



Entry w
Entry from Alexandria via LeMat-Bulk: a relaxed structure of PmY7Er3 (PBE).

Computed properties:
ρ: 5.837 g/cm3
Symmetry: No. 10
Density of states at the Fermi level: 1.7284 states/eV per atom

abc: 5.554 9.956 8.873
angles: 104.97 128.75 90.00
Sites, in units of the cell vectors:
Pm: 0.500 0.500 0.500
Y: 0.925 0.832 0.925
Y: 0.853 0.711 0.353
Y: 0.677 0.360 0.177
Y: 0.323 0.640 0.823
Y: 0.500 0.000 0.500
Y: 0.147 0.289 0.647
Y: 0.075 0.168 0.075
Er: 0.276 0.996 0.776
Er: 0.000 0.500 0.000
Er: 0.724 0.004 0.224



Entry x
Entry from Alexandria via LeMat-Bulk: a relaxed structure of PmY7Er3 (PBE).

Computed properties:
ρ: 5.793 g/cm3
Symmetry: No. 12
Density of states at the Fermi level: 1.6021 states/eV per atom

abc: 5.790 8.441 8.441
angles: 83.87 110.10 110.10
Each line ends with the local moment (μB).
Sites, in units of the cell vectors:
Pm: 0.500 0.500 0.500  0.05
Y: 0.206 0.206 0.206  0.00
Y: 0.299 0.999 0.600  0.00
Y: 0.701 0.400 0.001  0.00
Y: 0.299 0.600 0.999  0.00
Y: 0.000 0.500 0.500  0.05
Y: 0.701 0.001 0.400  0.00
Y: 0.794 0.794 0.794  0.00
Er: 0.000 0.794 0.206  0.00
Er: 0.500 0.000 0.000  0.00
Er: 0.000 0.206 0.794  0.00



Least stable structure: entry x



Entry w
Entry from Alexandria via LeMat-Bulk: a relaxed structure of Pm4YEr6 (PBE).

Computed properties:
ρ: 7.490 g/cm3
Symmetry: No. 187
Density of states at the Fermi level: 1.5798 states/eV per atom

abc: 3.549 10.984 10.984
angles: 120.00 90.00 90.00
Sites, in units of the cell vectors:
Pm: 0.500 0.830 0.661
Pm: 0.500 0.339 0.170
Pm: 0.500 0.830 0.170
Pm: 0.000 0.333 0.667
Y: 0.000 0.000 0.000
Er: 0.000 0.506 0.012
Er: 0.500 0.643 0.821
Er: 0.000 0.506 0.494
Er: 0.000 0.988 0.494
Er: 0.500 0.179 0.821
Er: 0.500 0.179 0.357



Entry x
Entry from Alexandria via LeMat-Bulk: a relaxed structure of Pm4YEr6 (PBE).

Computed properties:
ρ: 7.463 g/cm3
Symmetry: No. 121
Density of states at the Fermi level: 1.2492 states/eV per atom

abc: 9.702 9.702 9.702
angles: 57.66 140.12 140.12
Sites, in units of the cell vectors:
Pm: 0.000 0.635 0.013
Pm: 0.378 0.365 0.365
Pm: 0.000 0.013 0.635
Pm: 0.622 0.987 0.987
Y: 0.000 0.000 0.000
Er: 0.000 0.804 0.447
Er: 0.000 0.447 0.804
Er: 0.357 0.553 0.553
Er: 0.500 0.500 0.000
Er: 0.643 0.196 0.196
Er: 0.500 0.000 0.500



Least stable structure: entry x



Entry w
Entry from Alexandria via LeMat-Bulk: a relaxed structure of Pm2Y2Er3 (PBE).

Computed properties:
ρ: 7.026 g/cm3
Symmetry: No. 12
Density of states at the Fermi level: 1.5954 states/eV per atom

abc: 3.513 8.522 8.931
angles: 118.43 101.34 90.00
Sites, in units of the cell vectors:
Pm: 0.567 0.911 0.134
Pm: 0.433 0.089 0.866
Y: 0.851 0.667 0.702
Y: 0.149 0.333 0.298
Er: 0.000 0.500 0.000
Er: 0.211 0.801 0.423
Er: 0.789 0.199 0.577



Entry x
Entry from Alexandria via LeMat-Bulk: a relaxed structure of Pm2Y2Er3 (PBE).

Computed properties:
ρ: 6.980 g/cm3
Symmetry: No. 199
Density of states at the Fermi level: 1.3785 states/eV per atom

abc: 8.431 8.431 8.431
angles: 109.47 109.47 109.47
Sites, in units of the cell vectors:
Pm: 0.000 0.000 0.813
Pm: 0.500 0.813 0.500
Pm: 0.187 0.687 0.687
Pm: 0.313 0.500 0.000
Y: 0.000 0.000 0.412
Y: 0.500 0.412 0.500
Y: 0.588 0.088 0.088
Y: 0.912 0.500 0.000
Er: 0.691 0.750 0.941
Er: 0.809 0.250 0.559
Er: 0.059 0.309 0.250
Er: 0.441 0.191 0.750
Er: 0.250 0.941 0.191
Er: 0.750 0.559 0.309



Least stable structure: entry x



Entry w
Entry from Alexandria via LeMat-Bulk: a relaxed structure of Pm2Y7Er2 (PBE).

Computed properties:
ρ: 5.693 g/cm3
Symmetry: No. 12
Density of states at the Fermi level: 1.6392 states/eV per atom

abc: 6.065 8.685 8.685
angles: 84.34 63.52 63.52
Sites, in units of the cell vectors:
Pm: 0.500 0.211 0.789
Pm: 0.500 0.789 0.211
Y: 0.169 0.588 0.065
Y: 0.831 0.935 0.412
Y: 0.831 0.412 0.935
Y: 0.169 0.065 0.588
Y: 0.377 0.408 0.408
Y: 0.000 0.000 0.000
Y: 0.623 0.592 0.592
Er: 0.881 0.768 0.768
Er: 0.119 0.232 0.232



Entry x
Entry from Alexandria via LeMat-Bulk: a relaxed structure of Pm2Y7Er2 (PBE).

Computed properties:
ρ: 5.700 g/cm3
Symmetry: No. 12
Density of states at the Fermi level: 1.7538 states/eV per atom

abc: 8.719 6.535 6.535
angles: 93.41 81.67 81.67
Sites, in units of the cell vectors:
Pm: 0.500 0.323 0.677
Pm: 0.500 0.677 0.323
Y: 0.205 0.082 0.446
Y: 0.795 0.554 0.918
Y: 0.795 0.918 0.554
Y: 0.205 0.446 0.082
Y: 0.000 0.000 0.000
Y: 0.406 0.850 0.850
Y: 0.594 0.150 0.150
Er: 0.854 0.395 0.395
Er: 0.146 0.605 0.605



Least stable structure: entry w